Density functional theory data (GGA-PBE) for a geometry-optimized Pa2CrGeN6 structure.

a b c (Å): 5.225 5.225 4.702
angles (deg): 90.00 90.00 90.00
Space group P4mm (No. 99)
Inequivalent atoms, fractional coordinates:
Pa  0.000  0.500  0.000 (multiplicity 2)
Cr  0.000  0.000  0.580 (multiplicity 1)
Ge  0.500  0.500  0.577 (multiplicity 1)
N  0.000  0.000  0.209 (multiplicity 1)
N  0.248  0.248  0.726 (multiplicity 4)
N  0.500  0.500  0.188 (multiplicity 1)

- Formation energy without anion corrections: -682 kJ/mol of formula units
- Size of the total moment: 2.01 μB per formula unit
- Calculated volume: 128.40 Å³/cell